Entry from Alexandria via LeMat-Bulk: a relaxed structure of CsSrBi3 (GGA-PBE).

Calculated values
Volume ... 49.48 Å³ per atom
Space-group type ... Pm-3m (221)
E above lowest polymorph ... 0 kJ/mol of formula units

```
5
Lattice="6.277 0.000 0.000 0.000 6.277 0.000 0.000 0.000 6.277" Properties=species:S:1:pos:R:3 pbc="T T T"
Cs 0.000 0.000 0.000
Sr 3.139 3.139 3.139
Bi 0.000 3.139 3.139
Bi 3.139 0.000 3.139
Bi 3.139 3.139 0.000
```

Entry from Alexandria via LeMat-Bulk: a relaxed structure of CsSrBi3 (GGA-PBE).

Calculated values
Volume ... 48.97 Å³ per atom
Space-group type ... Pm-3m (221)
E above lowest polymorph ... 286 kJ/mol of formula units

```
5
Lattice="6.256 0.000 0.000 0.000 6.256 0.000 0.000 0.000 6.256" Properties=species:S:1:pos:R:3 pbc="T T T"
Cs 0.000 0.000 0.000
Sr 3.128 3.128 3.128
Bi 0.000 0.000 3.128
Bi 0.000 3.128 0.000
Bi 3.128 0.000 0.000
```